Below is a geometry-optimized La8TcIr3Cl4 structure, with properties calculated at the GGA-PBE level.

calculated density = 6.93 Mg/m³
Fermi-level density of states = 6.29 states/eV/f.u.
uncorrected formation energy = -1.205 eV/atom
calculated volume = 28.9 Å³ per atom

a = 14.4370 Å, b = 8.3343 Å, c = 9.0666 Å
α = 90.00°, β = 122.07°, γ = 90.00°
Space group C2/m (No. 12)
One atom of each set of equivalent atoms:
1 La 0.0126 0.2449 0.2942 (multiplicity 8)
2 La 0.2327 0.0000 0.7053 (multiplicity 4)
3 La 0.2335 0.5000 0.7000 (multiplicity 4)
4 Tc 0.0000 0.0000 0.5000 (multiplicity 2)
5 Ir 0.0000 0.5000 0.5000 (multiplicity 2)
6 Ir 0.2500 0.2500 0.5000 (multiplicity 4)
7 Cl 0.0000 0.0000 0.0000 (multiplicity 2)
8 Cl 0.0000 0.5000 0.0000 (multiplicity 2)
9 Cl 0.2500 0.2500 0.0000 (multiplicity 4)